This record from the Alexandria database describes a relaxed BaMoO2 crystal. The functional is PBE+U.

The structure in CIF format:
```
data_BaMoO2
_chemical_formula_sum 'Ba8 Mo8 O16'
_symmetry_space_group_name_H-M 'I 41/a m d'
_symmetry_Int_Tables_number 141
_cell_length_a 6.8682
_cell_length_b 6.8682
_cell_length_c 12.7215
_cell_angle_alpha 90.00
_cell_angle_beta 90.00
_cell_angle_gamma 90.00
loop_
_symmetry_equiv_pos_as_xyz
'x,y,z'
'-x,-y,-z'
'-y+1/4,x+3/4,z+1/4'
'y+1/4,-x+3/4,-z+1/4'
'-x+1/2,-y,z+1/2'
'x+1/2,y,-z+1/2'
'y+1/4,-x+1/4,z+3/4'
'-y+1/4,x+1/4,-z+3/4'
'x,-y,-z'
'-x,y,z'
'-y+1/4,-x+1/4,-z+3/4'
'y+1/4,x+1/4,z+3/4'
'-x+1/2,y,-z+1/2'
'x+1/2,-y,z+1/2'
'y+1/4,x+3/4,-z+1/4'
'-y+1/4,-x+3/4,z+1/4'
'x+1/2,y+1/2,z+1/2'
'-x+1/2,-y+1/2,-z+1/2'
'-y+3/4,x+1/4,z+3/4'
'y+3/4,-x+1/4,-z+3/4'
'-x,-y+1/2,z'
'x,y+1/2,-z'
'y+3/4,-x+3/4,z+1/4'
'-y+3/4,x+3/4,-z+1/4'
'x+1/2,-y+1/2,-z+1/2'
'-x+1/2,y+1/2,z+1/2'
'-y+3/4,-x+3/4,-z+1/4'
'y+3/4,x+3/4,z+1/4'
'-x,y+1/2,-z'
'x,-y+1/2,z'
'y+3/4,x+1/4,-z+3/4'
'-y+3/4,-x+1/4,z+3/4'
loop_
_atom_site_label
_atom_site_fract_x
_atom_site_fract_y
_atom_site_fract_z
_atom_site_occupancy
Ba1 0.0000 0.0000 0.0000 1
Mo1 0.0000 0.0000 0.5000 1
O1 0.0000 0.0461 0.2192 1
```

Output
Theoretical density ... 5.9 g/cm³
Crystal system ... tetragonal
Polymorph energy (0 for the lowest one) ... 0 meV/atom